Record 1
First-principles (GGA-PBEsol) data for Gd2InGe2 after structural relaxation, as listed in Alexandria via LeMat-Bulk.

Cell lengths 7.3153, 7.3153, 4.1963 Å; angles 90.00, 90.00, 90.00 degrees
Space group P4/mbm (No. 127)
Unique sites:
Gd  0.1782  0.3218  0.0000
In  0.0000  0.0000  0.5000
Ge  0.1212  0.6212  0.5000

Summary:
Its formation energy is -0.79 eV/atom. As for the magnetization: 2.80 μB per atom. As for the calculated volume: 22.46 A^3/atom.



Record 2
First-principles (GGA-PBEsol) data for CrAg2W after structural relaxation, as listed in Alexandria via LeMat-Bulk.

Cell lengths 4.7653, 4.7653, 2.8311 Å; angles 90.00, 90.00, 90.00 degrees
Space group P4/mmm (No. 123)
Unique sites:
Cr  0.0000  0.0000  0.0000
Ag  0.0000  0.5000  0.5000
W  0.5000  0.5000  0.0000

Summary:
Its formation energy is 0.92 eV/atom. As for the magnetization: 0.84 μB per atom. The calculation puts the offset from the most stable computed form at 0.274 eV per atom. As for the calculated volume: 16.07 A^3/atom.



Record 3
First-principles (GGA-PBEsol) data for AgSbPb after structural relaxation, as listed in Alexandria via LeMat-Bulk.

Cell lengths 4.6034, 4.6034, 4.3025 Å; angles 90.00, 90.00, 120.00 degrees
Space group P3m1 (No. 156)
Unique sites:
Ag  0.0000  0.0000  0.0000
Sb  0.6667  0.3333  0.8929
Pb  0.3333  0.6667  0.4009

Summary:
The calculation puts the formation energy (no corrections) at 1.71 kcal/mol of atoms. As for the magnetization: 0.00 μB per atom. The calculation puts the offset from the most stable computed form at 0.038 eV per atom. As for the calculated volume: 26.32 A^3/atom.



Record 4
First-principles (GGA-PBEsol) data for RbAuNF2 after structural relaxation, as listed in Alexandria via LeMat-Bulk.

Cell lengths 4.9644, 4.9644, 5.2013 Å; angles 90.00, 90.00, 90.00 degrees
Space group P4/mmm (No. 123)
Unique sites:
Rb  0.0000  0.0000  0.0000
Au  0.5000  0.5000  0.5000
N  0.0000  0.0000  0.5000
F  0.0000  0.5000  0.0000

Summary:
The calculation puts the formation energy (no corrections) at 15.98 kcal/mol of atoms. As for the magnetization: 0.61 μB per atom. As for the calculated volume: 25.64 A^3/atom.



Record 5
First-principles (GGA-PBEsol) data for MgTaSe2 after structural relaxation, as listed in Alexandria via LeMat-Bulk.

Cell lengths 3.2464, 3.2464, 6.6756 Å; angles 90.00, 90.00, 90.00 degrees
Space group P4/mmm (No. 123)
Unique sites:
Mg  0.0000  0.0000  0.0000
Ta  0.0000  0.0000  0.5000
Se  0.5000  0.5000  0.2717

Summary:
The calculation puts the formation energy (no corrections) at -12.71 kcal/mol of atoms. As for the magnetization: 0.00 μB per atom. As for the calculated volume: 17.59 A^3/atom.



Record 6
First-principles (GGA-PBEsol) data for LiPb3 after structural relaxation, as listed in Alexandria via LeMat-Bulk.

Cell lengths 6.5992, 9.3651, 3.5317 Å; angles 90.00, 90.00, 90.00 degrees
Space group Cmmm (No. 65)
Unique sites:
Li  0.0000  0.0000  0.0000
Pb  0.0000  0.5000  0.0000
Pb  0.2500  0.2500  0.5000

Summary:
Its formation energy is -0.12 eV/atom. As for the magnetization: 0.00 μB per atom. As for the calculated volume: 27.28 A^3/atom.



Record 7
First-principles (GGA-PBEsol) data for Sr2ReSiAs after structural relaxation, as listed in Alexandria via LeMat-Bulk.

Cell lengths 5.7698, 5.7698, 4.6216 Å; angles 90.00, 90.00, 90.00 degrees
Space group P4/mmm (No. 123)
Unique sites:
Sr  0.0000  0.5000  0.0000
Re  0.0000  0.0000  0.0000
Si  0.5000  0.5000  0.5000
As  0.0000  0.0000  0.5000

Summary:
The calculation puts the formation energy (no corrections) at 13.57 kcal/mol of atoms. As for the magnetization: 0.28 μB per atom. As for the calculated volume: 30.77 A^3/atom.



Record 8
First-principles (GGA-PBEsol) data for La2MgAg after structural relaxation, as listed in Alexandria via LeMat-Bulk.

Cell lengths 5.3388, 5.3388, 3.9273 Å; angles 90.00, 90.00, 90.00 degrees
Space group P4/mmm (No. 123)
Unique sites:
La  0.0000  0.5000  0.0000
Mg  0.0000  0.0000  0.5000
Ag  0.5000  0.5000  0.5000

Summary:
Its formation energy is -0.12 eV/atom. As for the magnetization: 0.00 μB per atom. As for the calculated volume: 27.98 A^3/atom.



Record 9
First-principles (GGA-PBEsol) data for ZrSc2Cd after structural relaxation, as listed in Alexandria via LeMat-Bulk.

Cell lengths 4.3218, 4.3218, 9.1947 Å; angles 90.00, 90.00, 90.00 degrees
Space group I-4m2 (No. 119)
Unique sites:
Zr  0.0000  0.0000  0.0000
Sc  0.0000  0.0000  0.5000
Sc  0.0000  0.5000  0.7500
Cd  0.0000  0.5000  0.2500

Summary:
Its formation energy is -0.08 eV/atom. As for the magnetization: 0.00 μB per atom. The calculation puts the offset from the most stable computed form at 0.111 eV per atom. As for the calculated volume: 21.47 A^3/atom.



Record 10
First-principles (GGA-PBEsol) data for YZrZnCo2 after structural relaxation, as listed in Alexandria via LeMat-Bulk.

Cell lengths 4.4731, 4.4731, 5.1318 Å; angles 90.00, 90.00, 90.00 degrees
Space group P4/mmm (No. 123)
Unique sites:
Y  0.0000  0.0000  0.0000
Zr  0.0000  0.0000  0.5000
Zn  0.5000  0.5000  0.5000
Co  0.0000  0.5000  0.0000

Summary:
Its formation energy is 1.59 eV/atom. As for the magnetization: 0.38 μB per atom. As for the calculated volume: 20.54 A^3/atom.



Record 11
First-principles (GGA-PBEsol) data for CdTcO3 after structural relaxation, as listed in Alexandria via LeMat-Bulk.

Cell lengths 4.0546, 4.0546, 4.0546 Å; angles 90.00, 90.00, 90.00 degrees
Space group Pm-3m (No. 221)
Unique sites:
Cd  0.0000  0.0000  0.0000
Tc  0.5000  0.5000  0.5000
O  0.0000  0.0000  0.5000

Summary:
The calculation puts the formation energy (no corrections) at 14.60 kcal/mol of atoms. As for the magnetization: 0.88 μB per atom. As for the calculated volume: 13.33 A^3/atom.



Record 12
First-principles (GGA-PBEsol) data for Si2AsAu after structural relaxation, as listed in Alexandria via LeMat-Bulk.

Cell lengths 3.4554, 3.8842, 10.3561 Å; angles 90.00, 90.00, 90.00 degrees
Space group Imm2 (No. 44)
Unique sites:
Si  0.0000  0.0000  0.0000
Si  0.0000  0.5000  0.3139
As  0.0000  0.5000  0.6833
Au  0.0000  0.0000  0.4877

Summary:
The calculation puts the formation energy (no corrections) at 5.58 kcal/mol of atoms. As for the magnetization: 0.00 μB per atom. As for the calculated volume: 17.37 A^3/atom.